Crystalline UAs5 at its relaxed geometry, computed with PBE.

Cell lengths 8.368, 8.368, 3.955 Å; angles 90.00, 90.00, 152.65 degrees
Atoms (fractional coordinates):
U1 0.000 0.000 0.000
As1 0.145 0.855 0.500
As2 0.353 0.647 0.000
As3 0.500 0.500 0.500
As4 0.647 0.353 0.000
As5 0.855 0.145 0.500

Summary:
As for the total energy: -5.938 eV per atom. As for the symmetry: Cmmm (65). The density of states at the Fermi level comes out at 4.15 states/eV/cell. As for the formation energy: -0.18 eV per atom.

Crystalline LiTlBi2Pt at its relaxed geometry, computed with PBE.

Cell lengths 5.825, 5.825, 5.123 Å; angles 90.00, 90.00, 90.00 degrees
Atoms (fractional coordinates):
Li1 0.000 0.000 0.000
Tl1 0.500 0.500 0.500
Bi1 0.000 0.500 0.500
Bi2 0.500 0.000 0.500
Pt1 0.500 0.500 0.000

Summary:
As for the total energy: -2.960 eV per atom. As for the symmetry: P4/mmm (123). The density of states at the Fermi level comes out at 4.36 states/eV/cell. As for the formation energy: 0.66 eV per atom.

Crystalline Tl12S5I3 at its relaxed geometry, computed with PBE.

Cell lengths 16.233, 16.233, 16.233 Å; angles 109.47, 109.47, 109.47 degrees
Atoms (fractional coordinates):
Tl1 0.035 0.210 0.127
Tl2 0.035 0.325 0.908
Tl3 0.083 0.710 0.675
Tl4 0.083 0.873 0.408
Tl5 0.092 0.627 0.417
Tl6 0.092 0.965 0.675
Tl7 0.127 0.035 0.210
Tl8 0.127 0.592 0.917
Tl9 0.175 0.210 0.583
Tl10 0.175 0.465 0.592
Tl11 0.210 0.127 0.035
Tl12 0.210 0.583 0.175
Tl13 0.290 0.325 0.917
Tl14 0.290 0.465 0.373
Tl15 0.325 0.908 0.035
Tl16 0.325 0.917 0.290
Tl17 0.373 0.290 0.465
Tl18 0.373 0.583 0.908
Tl19 0.408 0.083 0.873
Tl20 0.408 0.825 0.535
Tl21 0.417 0.092 0.627
Tl22 0.417 0.825 0.790
Tl23 0.465 0.373 0.290
Tl24 0.465 0.592 0.175
Tl25 0.535 0.408 0.825
Tl26 0.535 0.627 0.710
Tl27 0.583 0.175 0.210
Tl28 0.583 0.908 0.373
Tl29 0.592 0.175 0.465
Tl30 0.592 0.917 0.127
Tl31 0.627 0.417 0.092
Tl32 0.627 0.710 0.535
Tl33 0.675 0.083 0.710
Tl34 0.675 0.092 0.965
Tl35 0.710 0.535 0.627
Tl36 0.710 0.675 0.083
Tl37 0.790 0.417 0.825
Tl38 0.790 0.873 0.965
Tl39 0.825 0.535 0.408
Tl40 0.825 0.790 0.417
Tl41 0.873 0.408 0.083
Tl42 0.873 0.965 0.790
Tl43 0.908 0.035 0.325
Tl44 0.908 0.373 0.583
Tl45 0.917 0.127 0.592
Tl46 0.917 0.290 0.325
Tl47 0.965 0.675 0.092
Tl48 0.965 0.790 0.873
S1 0.000 0.000 0.000
S2 0.000 0.000 0.500
S3 0.000 0.500 0.000
S4 0.000 0.500 0.500
S5 0.125 0.750 0.875
S6 0.125 0.875 0.250
S7 0.250 0.125 0.875
S8 0.250 0.625 0.375
S9 0.375 0.250 0.625
S10 0.375 0.625 0.750
S11 0.500 0.000 0.000
S12 0.500 0.000 0.500
S13 0.500 0.500 0.000
S14 0.500 0.500 0.500
S15 0.625 0.375 0.250
S16 0.625 0.750 0.375
S17 0.750 0.375 0.625
S18 0.750 0.875 0.125
S19 0.875 0.125 0.750
S20 0.875 0.250 0.125
I1 0.125 0.250 0.375
I2 0.125 0.375 0.750
I3 0.250 0.375 0.125
I4 0.250 0.875 0.625
I5 0.375 0.125 0.250
I6 0.375 0.750 0.125
I7 0.625 0.250 0.875
I8 0.625 0.875 0.750
I9 0.750 0.125 0.375
I10 0.750 0.625 0.875
I11 0.875 0.625 0.250
I12 0.875 0.750 0.625

Summary:
As for the total energy: -2.980 eV per atom. As for the symmetry: Ia-3d (230). The calculation puts the uncorrected formation energy at -0.296 eV per atom. The density of states at the Fermi level comes out at 26.90 states/eV/cell.

Crystalline TaNbTcRu at its relaxed geometry, computed with PBE.

Cell lengths 3.181, 3.181, 6.375 Å; angles 90.00, 90.00, 90.00 degrees
Atoms (fractional coordinates):
Ta1 0.000 0.000 0.000
Nb1 0.000 0.000 0.508
Tc1 0.500 0.500 0.755
Ru1 0.500 0.500 0.246

Summary:
As for the total energy: -10.744 eV per atom. As for the symmetry: P4mm (99). The density of states at the Fermi level comes out at 2.59 states/eV/cell. As for the formation energy: -0.35 eV per atom.

Crystalline DyScBe17 at its relaxed geometry, computed with PBE.

Cell lengths 5.751, 5.751, 5.751 Å; angles 83.03, 83.03, 83.03 degrees
Atoms (fractional coordinates):
Dy1 0.000 0.000 0.000
Sc1 0.677 0.677 0.677
Be1 0.055 0.342 0.622
Be2 0.055 0.622 0.342
Be3 0.184 0.678 0.678
Be4 0.245 0.245 0.245
Be5 0.340 0.340 0.839
Be6 0.340 0.839 0.340
Be7 0.342 0.055 0.622
Be8 0.342 0.622 0.055
Be9 0.437 0.437 0.437
Be10 0.498 0.998 0.998
Be11 0.622 0.055 0.342
Be12 0.622 0.342 0.055
Be13 0.678 0.184 0.678
Be14 0.678 0.678 0.184
Be15 0.839 0.340 0.340
Be16 0.998 0.498 0.998
Be17 0.998 0.998 0.498

Summary:
As for the total energy: -4.069 eV per atom. As for the symmetry: R3m (160). The density of states at the Fermi level comes out at 4.06 states/eV/cell. As for the formation energy: -0.16 eV per atom.

Crystalline ZrTaTe2 at its relaxed geometry, computed with PBE.

Cell lengths 3.673, 3.673, 7.315 Å; angles 90.00, 90.00, 90.00 degrees
Atoms (fractional coordinates):
Zr1 0.000 0.000 0.000
Ta1 0.500 0.500 0.229
Te1 0.000 0.000 0.411
Te2 0.500 0.500 0.814

Summary:
As for the total energy: -7.082 eV per atom. The polymorph energy (0 for the lowest one) comes out at 0.000 eV per formula unit. As for the symmetry: P4mm (99). The calculation puts the uncorrected formation energy at -0.411 eV per atom. The density of states at the Fermi level comes out at 3.90 states/eV/cell.

Crystalline NaZnB2Cl at its relaxed geometry, computed with PBE.

Cell lengths 4.848, 4.848, 5.296 Å; angles 90.00, 90.00, 90.00 degrees
Atoms (fractional coordinates):
Na1 0.000 0.000 0.000
Zn1 0.000 0.000 0.500
B1 0.000 0.500 0.000
B2 0.500 0.000 0.000
Cl1 0.500 0.500 0.500

Summary:
As for the total energy: -1.596 eV per atom. As for the symmetry: P4/mmm (123). The calculation puts the uncorrected formation energy at 1.963 eV per atom. The density of states at the Fermi level comes out at 2.33 states/eV/cell.

Crystalline Ag2SbPb at its relaxed geometry, computed with PBE.

Cell lengths 4.846, 4.846, 6.399 Å; angles 100.90, 100.90, 40.95 degrees
Atoms (fractional coordinates):
Ag1 0.247 0.247 0.224
Ag2 0.753 0.753 0.776
Sb1 0.500 0.500 0.000
Pb1 0.000 0.000 0.500

Summary:
As for the total energy: -3.273 eV per atom. As for the symmetry: C2/m (12). The calculation puts the uncorrected formation energy at 0.111 eV per atom. The density of states at the Fermi level comes out at 1.18 states/eV/cell.

Crystalline PaPdS2 at its relaxed geometry, computed with PBE.

Cell lengths 7.621, 7.621, 7.621 Å; angles 31.13, 31.13, 31.13 degrees
Atoms (fractional coordinates):
Pa1 0.000 0.000 0.000
Pd1 0.500 0.500 0.500
S1 0.396 0.396 0.396
S2 0.604 0.604 0.604

Summary:
As for the total energy: -6.716 eV per atom. The polymorph energy (0 for the lowest one) comes out at 0.688 eV per formula unit. As for the symmetry: R-3m (166). The calculation puts the uncorrected formation energy at -0.980 eV per atom. The density of states at the Fermi level comes out at 4.46 states/eV/cell.

Crystalline SnBi5Au3 at its relaxed geometry, computed with PBE.

Cell lengths 7.690, 7.690, 10.540 Å; angles 105.68, 105.68, 73.25 degrees
Atoms (fractional coordinates):
Sn1 0.086 0.086 0.289
Sn2 0.914 0.914 0.711
Bi1 0.098 0.656 0.268
Bi2 0.249 0.249 0.069
Bi3 0.310 0.690 0.000
Bi4 0.344 0.902 0.732
Bi5 0.440 0.440 0.648
Bi6 0.560 0.560 0.352
Bi7 0.656 0.098 0.268
Bi8 0.690 0.310 0.000
Bi9 0.751 0.751 0.931
Bi10 0.902 0.344 0.732
Au1 0.000 0.000 0.000
Au2 0.000 0.000 0.500
Au3 0.311 0.311 0.829
Au4 0.318 0.318 0.373
Au5 0.682 0.682 0.627
Au6 0.689 0.689 0.171

Summary:
As for the total energy: -3.598 eV per atom. As for the symmetry: C2/m (12). The density of states at the Fermi level comes out at 9.88 states/eV/cell. As for the formation energy: 0.09 eV per atom.

Crystalline La2CdAu2 at its relaxed geometry, computed with PBE.

Cell lengths 8.742, 8.742, 3.725 Å; angles 90.00, 90.00, 90.00 degrees
Atoms (fractional coordinates):
La1 0.161 0.339 0.000
La2 0.339 0.839 0.000
La3 0.661 0.161 0.000
La4 0.839 0.661 0.000
Cd1 0.000 0.000 0.000
Cd2 0.500 0.500 0.000
Au1 0.131 0.631 0.500
Au2 0.369 0.131 0.500
Au3 0.631 0.869 0.500
Au4 0.869 0.369 0.500

Summary:
As for the total energy: -3.994 eV per atom. As for the symmetry: P4/mbm (127). The density of states at the Fermi level comes out at 8.67 states/eV/cell. As for the formation energy: -0.53 eV per atom.

Crystalline Fe3Pb3N5 at its relaxed geometry, computed with PBE.

Cell lengths 5.684, 7.521, 8.216 Å; angles 105.80, 102.19, 95.63 degrees
Atoms (fractional coordinates):
Fe1 0.075 0.175 0.020
Fe2 0.099 0.437 0.733
Fe3 0.318 0.514 0.407
Fe4 0.682 0.486 0.593
Fe5 0.901 0.563 0.267
Fe6 0.925 0.825 0.980
Pb1 0.230 0.042 0.421
Pb2 0.323 0.843 0.767
Pb3 0.391 0.675 0.127
Pb4 0.609 0.325 0.873
Pb5 0.677 0.157 0.233
Pb6 0.770 0.958 0.579
N1 0.072 0.348 0.223
N2 0.158 0.308 0.891
N3 0.173 0.716 0.415
N4 0.227 0.979 0.076
N5 0.360 0.469 0.619
N6 0.640 0.531 0.381
N7 0.773 0.021 0.924
N8 0.827 0.284 0.585
N9 0.842 0.692 0.109
N10 0.928 0.652 0.777

Summary:
As for the total energy: -6.755 eV per atom. As for the symmetry: P-1 (2). The calculation puts the uncorrected formation energy at 0.348 eV per atom. The density of states at the Fermi level comes out at 11.93 states/eV/cell.

Crystalline Er6AlCu2 at its relaxed geometry, computed with PBE.

Cell lengths 8.364, 8.364, 8.364 Å; angles 112.66, 109.69, 106.13 degrees
Atoms (fractional coordinates):
Er1 0.047 0.241 0.807
Er2 0.183 0.278 0.461
Er3 0.183 0.722 0.904
Er4 0.324 0.022 0.697
Er5 0.324 0.627 0.303
Er6 0.434 0.241 0.193
Er7 0.566 0.759 0.807
Er8 0.676 0.373 0.697
Er9 0.676 0.978 0.303
Er10 0.817 0.278 0.096
Er11 0.817 0.722 0.539
Er12 0.953 0.759 0.193
Al1 0.000 0.000 0.000
Al2 0.500 0.500 0.000
Cu1 0.121 0.621 0.500
Cu2 0.340 0.000 0.340
Cu3 0.660 0.000 0.660
Cu4 0.879 0.379 0.500

Summary:
As for the total energy: -4.589 eV per atom. As for the symmetry: Immm (71). The density of states at the Fermi level comes out at 14.67 states/eV/cell. As for the formation energy: -0.22 eV per atom.

Crystalline AgSeS3 at its relaxed geometry, computed with PBE.

Cell lengths 4.802, 4.802, 4.802 Å; angles 90.00, 90.00, 90.00 degrees
Atoms (fractional coordinates):
Ag1 0.000 0.000 0.000
Se1 0.500 0.500 0.500
S1 0.000 0.500 0.500
S2 0.500 0.000 0.500
S3 0.500 0.500 0.000

Summary:
As for the total energy: -3.024 eV per atom. The polymorph energy (0 for the lowest one) comes out at 3.104 eV per formula unit. As for the symmetry: Pm-3m (221). The calculation puts the uncorrected formation energy at 0.720 eV per atom. The density of states at the Fermi level comes out at 4.50 states/eV/cell.

Crystalline CaAcCuPd at its relaxed geometry, computed with PBE.

Cell lengths 5.234, 5.234, 5.234 Å; angles 60.00, 60.00, 60.00 degrees
Atoms (fractional coordinates):
Ca1 0.000 0.000 0.000
Ac1 0.500 0.500 0.500
Cu1 0.750 0.750 0.750
Pd1 0.250 0.250 0.250

Summary:
As for the total energy: -4.242 eV per atom. The polymorph energy (0 for the lowest one) comes out at 0.244 eV per formula unit. As for the symmetry: F-43m (216). The density of states at the Fermi level comes out at 3.28 states/eV/cell. As for the formation energy: -0.39 eV per atom.

Crystalline HoPPd at its relaxed geometry, computed with PBE.

Cell lengths 6.900, 4.000, 7.751 Å; angles 90.00, 90.00, 90.00 degrees
Atoms (fractional coordinates):
Ho1 0.031 0.250 0.187
Ho2 0.469 0.750 0.687
Ho3 0.531 0.250 0.313
Ho4 0.969 0.750 0.813
P1 0.250 0.250 0.877
P2 0.250 0.750 0.377
P3 0.750 0.250 0.623
P4 0.750 0.750 0.123
Pd1 0.148 0.250 0.561
Pd2 0.352 0.750 0.061
Pd3 0.648 0.250 0.939
Pd4 0.852 0.750 0.439

Summary:
As for the total energy: -6.330 eV per atom. As for the symmetry: Pnma (62). The density of states at the Fermi level comes out at 0.00 states/eV/cell. As for the formation energy: -1.27 eV per atom.

Crystalline TbPrIr at its relaxed geometry, computed with PBE.

Cell lengths 4.913, 4.913, 4.913 Å; angles 60.00, 60.00, 60.00 degrees
Atoms (fractional coordinates):
Tb1 0.000 0.000 0.000
Pr1 0.500 0.500 0.500
Ir1 0.750 0.750 0.750

Summary:
As for the total energy: -6.656 eV per atom. The polymorph energy (0 for the lowest one) comes out at 0.048 eV per formula unit. As for the symmetry: F-43m (216). The density of states at the Fermi level comes out at 3.12 states/eV/cell. As for the formation energy: -0.57 eV per atom.

Crystalline K2CdHgP at its relaxed geometry, computed with PBE.

Cell lengths 6.353, 6.353, 5.068 Å; angles 90.00, 90.00, 90.00 degrees
Atoms (fractional coordinates):
K1 0.000 0.500 0.000
K2 0.500 0.000 0.000
Cd1 0.000 0.000 0.500
Hg1 0.500 0.500 0.500
P1 0.000 0.000 0.000

Summary:
As for the total energy: -1.922 eV per atom. As for the symmetry: P4/mmm (123). The density of states at the Fermi level comes out at 1.73 states/eV/cell. As for the formation energy: -0.16 eV per atom.

Crystalline Mo at its relaxed geometry, computed with PBE.

Cell lengths 5.049, 5.049, 5.049 Å; angles 90.00, 90.00, 90.00 degrees
Atoms (fractional coordinates):
Mo1 0.000 0.000 0.000
Mo2 0.000 0.250 0.500
Mo3 0.000 0.750 0.500
Mo4 0.250 0.500 0.000
Mo5 0.500 0.000 0.250
Mo6 0.500 0.000 0.750
Mo7 0.500 0.500 0.500
Mo8 0.750 0.500 0.000

Summary:
As for the total energy: -10.761 eV per atom. The polymorph energy (0 for the lowest one) comes out at 0.070 eV per formula unit. As for the symmetry: Pm-3n (223). The density of states at the Fermi level comes out at 5.88 states/eV/cell. As for the formation energy: 0.07 eV per atom.

Crystalline Sr3Zn2Pt at its relaxed geometry, computed with PBE.

Cell lengths 12.804, 4.468, 12.997 Å; angles 90.00, 90.00, 90.00 degrees
Atoms (fractional coordinates):
Sr1 0.057 0.250 0.128
Sr2 0.113 0.750 0.552
Sr3 0.219 0.250 0.795
Sr4 0.281 0.750 0.295
Sr5 0.387 0.250 0.052
Sr6 0.443 0.750 0.628
Sr7 0.557 0.250 0.372
Sr8 0.613 0.750 0.948
Sr9 0.719 0.250 0.705
Sr10 0.781 0.750 0.205
Sr11 0.887 0.250 0.448
Sr12 0.943 0.750 0.872
Zn1 0.028 0.750 0.313
Zn2 0.207 0.750 0.987
Zn3 0.293 0.250 0.487
Zn4 0.472 0.250 0.813
Zn5 0.528 0.750 0.187
Zn6 0.707 0.750 0.513
Zn7 0.793 0.250 0.013
Zn8 0.972 0.250 0.687
Pt1 0.124 0.250 0.369
Pt2 0.376 0.750 0.869
Pt3 0.624 0.250 0.131
Pt4 0.876 0.750 0.631

Summary:
As for the total energy: -2.745 eV per atom. As for the symmetry: Pnma (62). The density of states at the Fermi level comes out at 16.42 states/eV/cell. As for the formation energy: -0.47 eV per atom.

| no. | magnetization (μB per atom) |
| --- | --- |
| 1 | 0.001 |
| 2 | 0.000 |
| 3 | 0.000 |
| 4 | 0.000 |
| 5 | 0.000 |
| 6 | 0.000 |
| 7 | 0.000 |
| 8 | 0.000 |
| 9 | 0.253 |
| 10 | 0.000 |
| 11 | 0.000 |
| 12 | 0.064 |
| 13 | 0.000 |
| 14 | 0.000 |
| 15 | 0.000 |
| 16 | 0.000 |
| 17 | 0.000 |
| 18 | 0.000 |
| 19 | 0.000 |
| 20 | 0.000 |